Entry 1:
This record from the Alexandria database describes NbTcHRuI after structural relaxation. The functional is PBE.

Geometry as POSCAR:
```
NbTcHRuI
1.0
-2.497 -1.998 -0.604
0.654 -1.675 2.822
-5.928 3.773 3.695
Nb Tc H Ru I
1 1 1 1 1
Cartesian
-5.173 -1.399 4.251 Nb
-5.289 1.398 3.956 Tc
-5.539 0.390 5.398 H
-3.508 -0.339 2.507 Ru
-1.978 -2.015 1.059 I
```

Summary:
The electronic total energy is -6.71 eV/atom. For the distance to the lowest polymorph of the same formula, the calculation gives 0 meV per atom. Its space group is P1, No. 1.

***

Entry 2:
This record from the Alexandria database describes NbTcHRuI after structural relaxation. The functional is PBE.

Geometry as POSCAR:
```
NbTcHRuI
1.0
-0.417 -0.494 -3.074
2.541 -2.888 0.119
-9.893 -8.469 5.746
Nb Tc H Ru I
2 2 2 2 2
Cartesian
-3.380 -2.955 0.463 Nb
-7.056 -8.634 3.396 Nb
-1.472 -1.295 -0.008 Tc
-5.148 -6.974 2.925 Tc
-2.508 -2.262 -1.344 H
-6.184 -7.941 1.588 H
-7.565 -6.590 1.632 Ru
-1.348 -3.800 -1.182 Ru
-4.965 -4.267 2.488 I
-8.641 -9.945 5.420 I
```

Summary:
The electronic total energy is -6.55 eV/atom. For the distance to the lowest polymorph of the same formula, the calculation gives 157 meV per atom. Its space group is Cm, No. 8.